The following is a PBE calculation of a relaxed structure of Ga2AsSe, from the Alexandria database.

Cell: 3.7714 4.1437 5.6170 Å, 90.00 90.00 90.00°
Space group Pmm2 (No. 25)
Symmetry-distinct sites (fractional):
Ga  0.0000  0.0000  0.0000 x1
Ga  0.5000  0.5000  0.1978 x1
As  0.5000  0.0000  0.6080 x1
Se  0.0000  0.5000  0.6021 x1

final energy = -13.86 eV for the cell shown
V = 87.8 Å³/cell
total magnetization = 0.00 Bohr magnetons per cell
raw formation energy = 0.08 eV/atom